# 1
# Rb4Tb3PrSe8, optimized geometry, DFT PBE
data_Rb4Tb3PrSe8
_space_group_name_H-M_alt 'P 1'
_space_group_IT_number 1
_space_group_name_Hall 'P 1'
_cell_length_a 9.4216
_cell_length_b 9.4216
_cell_length_c 9.4216
_cell_angle_alpha 54.29
_cell_angle_beta 54.29
_cell_angle_gamma 54.29
loop_
_atom_site_label
_atom_site_type_symbol
_atom_site_fract_x
_atom_site_fract_y
_atom_site_fract_z
Rb1 Rb 0.0000 0.0000 0.0000
Rb2 Rb 0.0000 0.5000 0.5000
Rb3 Rb 0.5000 0.0000 0.5000
Rb4 Rb 0.5000 0.5000 0.0000
Tb1 Tb 0.0000 0.0000 0.5000
Tb2 Tb 0.0000 0.5000 0.0000
Tb3 Tb 0.5000 0.0000 0.0000
Pr1 Pr 0.5000 0.5000 0.5000
Se1 Se 0.2251 0.7366 0.7366
Se2 Se 0.2318 0.2318 0.2318
Se3 Se 0.2634 0.2634 0.7749
Se4 Se 0.2634 0.7749 0.2634
Se5 Se 0.7366 0.2251 0.7366
Se6 Se 0.7366 0.7366 0.2251
Se7 Se 0.7682 0.7682 0.7682
Se8 Se 0.7749 0.2634 0.2634
# Raw total energy, eV/cell: -78.2
# Crystal system: trigonal

***

# 2
# RbTb4PrSe8, optimized geometry, DFT PBE
data_RbTb4PrSe8
_space_group_name_H-M_alt 'P 1'
_space_group_IT_number 1
_space_group_name_Hall 'P 1'
_cell_length_a 8.8025
_cell_length_b 8.8025
_cell_length_c 8.8025
_cell_angle_alpha 58.88
_cell_angle_beta 58.88
_cell_angle_gamma 58.88
loop_
_atom_site_label
_atom_site_type_symbol
_atom_site_fract_x
_atom_site_fract_y
_atom_site_fract_z
Rb1 Rb 0.0000 0.0000 0.0000
Tb1 Tb 0.1173 0.6342 0.6342
Tb2 Tb 0.2561 0.2561 0.2561
Tb3 Tb 0.6342 0.1173 0.6342
Tb4 Tb 0.6342 0.6342 0.1173
Pr1 Pr 0.6354 0.6354 0.6354
Se1 Se 0.3838 0.3838 0.8613
Se2 Se 0.3838 0.8613 0.3838
Se3 Se 0.3873 0.3873 0.3873
Se4 Se 0.4300 0.8694 0.8694
Se5 Se 0.8613 0.3838 0.3838
Se6 Se 0.8607 0.8607 0.8607
Se7 Se 0.8694 0.4300 0.8694
Se8 Se 0.8694 0.8694 0.4300
# Raw total energy, eV/cell: -76.3
# Crystal system: trigonal

***

# 3
# RbPr2TeSe4, optimized geometry, DFT PBE
data_RbPr2TeSe4
_space_group_name_H-M_alt 'P 1'
_space_group_IT_number 1
_space_group_name_Hall 'P 1'
_cell_length_a 7.8826
_cell_length_b 7.8826
_cell_length_c 16.0044
_cell_angle_alpha 90.00
_cell_angle_beta 90.00
_cell_angle_gamma 147.33
loop_
_atom_site_label
_atom_site_type_symbol
_atom_site_fract_x
_atom_site_fract_y
_atom_site_fract_z
Rb1 Rb 0.1602 0.8398 0.7500
Rb2 Rb 0.8398 0.1602 0.2500
Pr1 Pr 0.3685 0.6315 0.5562
Pr2 Pr 0.3685 0.6315 0.9438
Pr3 Pr 0.6315 0.3685 0.0562
Pr4 Pr 0.6315 0.3685 0.4438
Te1 Te 0.0991 0.9009 0.2500
Te2 Te 0.9009 0.0991 0.7500
Se1 Se 0.0000 0.0000 0.0000
Se2 Se 0.0000 0.0000 0.5000
Se3 Se 0.2650 0.7350 0.0946
Se4 Se 0.2650 0.7350 0.4054
Se5 Se 0.4900 0.5100 0.7500
Se6 Se 0.5100 0.4900 0.2500
Se7 Se 0.7350 0.2650 0.5946
Se8 Se 0.7350 0.2650 0.9054
# Raw total energy, eV/cell: -75.0
# Crystal system: orthorhombic

***

- Number 2 is which compound?
  RbTb4PrSe8